Record 1
The following is a DFT calculation (PBE-GGA) of a relaxed KAu4Se crystal.

Summary:
**Formation energy (no corrections)**: -0.089 eV per atom
**Space group**: No. 216
**ρ**: 11.6 g/cm³
**Raw total energy**: -18.22 eV/cell
**Spin magnetization**: 0.000 μB per atom

Unit cell a=5.683 b=5.683 c=5.683 alpha=60.00 beta=60.00 gamma=60.00
Fractional coordinates of all 6 atoms:
K: 0.750 0.750 0.750
Au: 0.874 0.375 0.375
Au: 0.375 0.375 0.874
Au: 0.375 0.874 0.375
Au: 0.375 0.375 0.375
Se: 0.000 0.000 0.000

Record 2
The following is a DFT calculation (PBE-GGA) of a relaxed Ca2YP crystal.

Summary:
**Space group**: No. 216
**ρ**: 3.2 g/cm³
**ΔH_f (0 K)**: 0.000 eV per atom
**Raw total energy**: -15.88 eV/cell
**Spin magnetization**: 0.000 μB per atom

Unit cell a=5.300 b=5.300 c=5.300 alpha=60.00 beta=60.00 gamma=60.00
Fractional coordinates of all 4 atoms:
Ca: 0.000 0.000 0.000
Ca: 0.250 0.250 0.250
P: 0.500 0.500 0.500
Y: 0.750 0.750 0.750

Record 3
The following is a DFT calculation (PBE-GGA) of a relaxed AcMgGa11 crystal.

Summary:
**Space group**: No. 12
**ρ**: 6.4 g/cm³
**ΔH_f (0 K)**: -0.158 eV per atom
**Raw total energy**: -41.06 eV/cell
**Spin magnetization**: 0.000 μB per atom

Unit cell a=5.822 b=7.354 c=7.244 alpha=81.34 beta=66.31 gamma=67.99
Fractional coordinates of all 13 atoms:
Ac: 0.000 0.000 0.000
Mg: 0.500 0.500 0.000
Ga: 0.280 0.216 0.220
Ga: 0.720 0.784 0.780
Ga: 0.500 0.784 0.220
Ga: 0.500 0.216 0.780
Ga: 0.361 0.640 0.640
Ga: 0.639 0.360 0.360
Ga: 0.999 0.360 0.640
Ga: 0.001 0.640 0.360
Ga: 0.000 0.500 0.000
Ga: 0.500 0.000 0.500
Ga: 0.000 0.000 0.500

Record 4
The following is a DFT calculation (PBE-GGA) of a relaxed Rb2PaAsO6 crystal.

Summary:
**Formation energy (no corrections)**: -2.174 eV per atom
**Space group**: No. 99
**ρ**: 6.3 g/cm³
**Raw total energy**: -67.57 eV/cell
**Spin magnetization**: 0.000 μB per atom

Unit cell a=4.619 b=5.697 c=5.697 alpha=90.00 beta=90.00 gamma=90.00
Fractional coordinates of all 10 atoms:
Rb: 0.129 0.500 0.000
Rb: 0.129 0.000 0.500
Pa: 0.637 0.500 0.500
As: 0.568 0.000 0.000
O: 0.653 0.229 0.229
O: 0.653 0.229 0.771
O: 0.169 0.500 0.500
O: 0.203 0.000 0.000
O: 0.653 0.771 0.771
O: 0.653 0.771 0.229

Record 5
The following is a DFT calculation (PBE-GGA) of a relaxed Pr2DyY5Tm crystal.

Summary:
**Space group**: No. 140
**ρ**: 5.9 g/cm³
**ΔH_f (0 K)**: 0.261 eV per atom
**Raw total energy**: -97.21 eV/cell
**Spin magnetization**: 0.000 μB per atom

Unit cell a=8.647 b=8.647 c=10.016 alpha=115.57 beta=115.57 gamma=90.00
Fractional coordinates of all 18 atoms:
Pr: 0.118 0.382 0.000
Pr: 0.618 0.118 0.000
Pr: 0.382 0.882 0.000
Pr: 0.882 0.618 0.000
Dy: 0.250 0.250 0.500
Dy: 0.750 0.750 0.500
Y: 0.928 0.428 0.282
Y: 0.646 0.146 0.718
Y: 0.072 0.572 0.718
Y: 0.146 0.072 0.718
Y: 0.572 0.646 0.718
Y: 0.854 0.928 0.282
Y: 0.428 0.354 0.282
Y: 0.354 0.854 0.282
Y: 0.500 0.500 0.000
Y: 0.000 0.000 0.000
Tm: 0.250 0.750 0.500
Tm: 0.750 0.250 0.500

Record 6
The following is a DFT calculation (PBE-GGA) of a relaxed LaHo7Sc2 crystal.

Summary:
**ΔE to the lowest computed polymorph**: 0.6112 eV/atom
**Space group**: No. 65
**ρ**: 6.2 g/cm³
**ΔH_f (0 K)**: 0.654 eV per atom
**Raw total energy**: -43.09 eV/cell
**Spin magnetization**: 0.000 μB per atom

Unit cell a=5.600 b=8.739 c=8.739 alpha=119.81 beta=90.00 gamma=90.00
Fractional coordinates of all 10 atoms:
La: 0.000 0.000 0.000
Ho: 0.000 0.757 0.243
Ho: 0.000 0.243 0.757
Ho: 0.500 0.058 0.304
Ho: 0.500 0.942 0.696
Ho: 0.500 0.304 0.058
Ho: 0.500 0.696 0.942
Ho: 0.500 0.500 0.500
Sc: 0.500 0.703 0.297
Sc: 0.500 0.297 0.703

Record 7
The following is a DFT calculation (PBE-GGA) of a relaxed Re2AuBr crystal.

Summary:
**ΔE to the lowest computed polymorph**: 0.6142 eV/atom
**Formation energy (no corrections)**: 1.291 eV per atom
**Space group**: No. 123
**ρ**: 15.6 g/cm³
**Raw total energy**: -24.68 eV/cell
**Spin magnetization**: 0.000 μB per atom

Unit cell a=3.241 b=3.241 c=6.597 alpha=90.00 beta=90.00 gamma=90.00
Fractional coordinates of all 4 atoms:
Re: 0.000 0.000 0.038
Re: 0.000 0.000 0.462
Au: 0.500 0.500 0.250
Br: 0.500 0.500 0.750

Record 8
The following is a DFT calculation (PBE-GGA) of a relaxed YBeGe3 crystal.

Summary:
**ΔE to the lowest computed polymorph**: 1.1996 eV/atom
**Space group**: No. 221
**ρ**: 3.3 g/cm³
**ΔH_f (0 K)**: 1.233 eV per atom
**Raw total energy**: -17.88 eV/cell
**Spin magnetization**: 0.000 μB per atom

Unit cell a=5.418 b=5.418 c=5.418 alpha=90.00 beta=90.00 gamma=90.00
Fractional coordinates of all 5 atoms:
Y: 0.000 0.000 0.000
Be: 0.500 0.500 0.500
Ge: 0.000 0.500 0.000
Ge: 0.000 0.000 0.500
Ge: 0.500 0.000 0.000

Record 9
The following is a DFT calculation (PBE-GGA) of a relaxed LiAl2MoPb crystal.

Summary:
**Space group**: No. 123
**ρ**: 4.7 g/cm³
**ΔH_f (0 K)**: 0.348 eV per atom
**Raw total energy**: -22.20 eV/cell
**Spin magnetization**: 0.000 μB per atom

Unit cell a=4.933 b=5.303 c=4.933 alpha=90.00 beta=90.00 gamma=90.00
Fractional coordinates of all 5 atoms:
Pb: 0.000 0.500 0.000
Mo: 0.000 0.000 0.000
Al: 0.000 0.000 0.500
Al: 0.500 0.000 0.000
Li: 0.500 0.500 0.500

Record 10
The following is a DFT calculation (PBE-GGA) of a relaxed Hf2ScGe2 crystal.

Summary:
**ΔE to the lowest computed polymorph**: 0.4344 eV/atom
**Space group**: No. 127
**ρ**: 9.1 g/cm³
**ΔH_f (0 K)**: -0.252 eV per atom
**Raw total energy**: -73.47 eV/cell
**Spin magnetization**: 0.059 μB per atom

Unit cell a=8.111 b=8.111 c=3.041 alpha=90.00 beta=90.00 gamma=90.00
Each line ends with the local moment (μB).
Fractional coordinates of all 10 atoms:
Sc: 0.000 0.000 0.000  0.24
Sc: 0.500 0.500 0.000  0.24
Ge: 0.170 0.670 0.500  -0.01
Ge: 0.670 0.830 0.500  -0.01
Ge: 0.830 0.330 0.500  -0.01
Ge: 0.330 0.170 0.500  -0.01
Hf: 0.372 0.872 0.000  0.00
Hf: 0.872 0.628 0.000  0.00
Hf: 0.628 0.128 0.000  0.00
Hf: 0.128 0.372 0.000  0.00

Record 11
The following is a DFT calculation (PBE-GGA) of a relaxed NbNiAu crystal.

Summary:
**ΔE to the lowest computed polymorph**: 0.0664 eV/atom
**Space group**: No. 107
**ρ**: 12.4 g/cm³
**ΔH_f (0 K)**: -0.109 eV per atom
**Raw total energy**: -19.46 eV/cell
**Spin magnetization**: 0.000 μB per atom

Unit cell a=2.849 b=2.849 c=6.098 alpha=103.51 beta=103.51 gamma=90.00
Fractional coordinates of all 3 atoms:
Ni: 0.663 0.663 0.325
Nb: 0.013 0.013 0.025
Au: 0.325 0.325 0.649

Record 12
The following is a DFT calculation (PBE-GGA) of a relaxed Li2SiMo crystal.

Summary:
**Formation energy (no corrections)**: 0.049 eV per atom
**Space group**: No. 25
**ρ**: 3.9 g/cm³
**Raw total energy**: -19.89 eV/cell
**Spin magnetization**: 0.000 μB per atom

Unit cell a=2.667 b=3.232 c=6.815 alpha=90.00 beta=90.00 gamma=90.00
Fractional coordinates of all 4 atoms:
Li: 0.000 0.000 0.979
Li: 0.500 0.500 0.236
Mo: 0.000 0.000 0.530
Si: 0.500 0.500 0.755